No. 1
An optimized crystal structure of Tb3GdNi. Source: Alexandria, functional PBE.

Output
**Size of the total moment**: 1.65 μB per atom
**Calculated density**: 7.58 g cm⁻³
**Crystal system**: cubic
**Formation energy from the elements**: -50 meV per atom
**DOS at the Fermi energy**: 8.1 states/eV/f.u.
**Energy**: -6.80 eV/atom
**Space-group type**: Pm-3m
**Volume**: 30.34 Å³ per atom

a b c (Å): 5.3330 5.3330 5.3330
angles (deg): 90.00 90.00 90.00
Last column: nearest neighbours and their distance in Å.
Sites, in units of the cell vectors:
Ni (0.0000, 0.0000, 0.0000)  6 Tb 2.67
Gd (0.5000, 0.5000, 0.5000)  12 Tb 3.77
Tb (0.0000, 0.5000, 0.0000)  2 Ni 2.67
Tb (0.0000, 0.0000, 0.5000)  2 Ni 2.67
Tb (0.5000, 0.0000, 0.0000)  2 Ni 2.67

No. 2
An optimized crystal structure of PaZn2Rh2. Source: Alexandria, functional PBE.

Output
**Size of the total moment**: 0.00 μB per atom
**Calculated density**: 9.89 g cm⁻³
**Crystal system**: monoclinic
**Formation energy from the elements**: -473 meV per atom
**DOS at the Fermi energy**: 2.9 states/eV/f.u.
**Energy**: -5.82 eV/atom
**Space-group type**: C2/c
**Volume**: 19.05 Å³ per atom

a b c (Å): 4.9791 7.3463 6.9920
angles (deg): 124.34 110.86 90.00
Last column: nearest neighbours and their distance in Å.
Sites, in units of the cell vectors:
Pa (0.8296, 0.7500, 0.0000)  4 Rh 2.64-2.73
Pa (0.1704, 0.2500, 0.0000)  4 Rh 2.64-2.73
Zn (0.5369, 0.1120, 0.3953)  4 Rh 2.53-2.79
Zn (0.1416, 0.3880, 0.6047)  4 Rh 2.53-2.79
Zn (0.4631, 0.8880, 0.6047)  4 Rh 2.53-2.79
Zn (0.8584, 0.6120, 0.3953)  4 Rh 2.53-2.79
Rh (0.7701, 0.1590, 0.1382)  4 Zn 2.53-2.79, 2 Pa 2.64-2.73, 2 Rh 2.76-2.82
Rh (0.3681, 0.6590, 0.1382)  4 Zn 2.53-2.79, 2 Pa 2.64-2.73, 2 Rh 2.76-2.82
Rh (0.2299, 0.8410, 0.8618)  4 Zn 2.53-2.79, 2 Pa 2.64-2.73, 2 Rh 2.76-2.82
Rh (0.6319, 0.3410, 0.8618)  4 Zn 2.53-2.79, 2 Pa 2.64-2.73, 2 Rh 2.76-2.82

No. 3
An optimized crystal structure of LiPu2Zn3N6. Source: Alexandria, functional PBE.

Output
**Size of the total moment**: 0.42 μB per atom
**Calculated density**: 8.69 g cm⁻³
**Crystal system**: monoclinic
**DOS at the Fermi energy**: 6.9 states/eV/f.u.
**ΔE_f (raw)**: -0.396 eV/atom
**Energy**: -7.43 eV/atom
**Space-group type**: C2/m
**Volume**: 12.34 Å³ per atom

a b c (Å): 3.4765 7.0891 6.4022
angles (deg): 102.27 105.75 90.00
Last column: nearest neighbours and their distance in Å.
Sites, in units of the cell vectors:
Li (0.5000, 0.0000, 0.0000)  2 N 2.12
Pu (0.8388, 0.6817, 0.6776)  2 N 2.00-2.15
Pu (0.1612, 0.3183, 0.3224)  2 N 2.00-2.15
Zn (0.5000, 0.5000, 0.0000)  2 N 2.03
Zn (0.8383, 0.1118, 0.6765)  2 N 1.96-2.02
Zn (0.1617, 0.8882, 0.3235)  2 N 1.96-2.02
N (0.3259, 0.8896, 0.6518)  1 Zn 2.02, 1 Li 2.12
N (0.6678, 0.5262, 0.3355)  1 Zn 2.03, 3 Pu 2.15-2.27
N (0.6741, 0.1104, 0.3482)  1 Zn 2.02, 1 Li 2.12
N (0.9944, 0.2513, 0.9888)  1 Zn 1.96, 1 Pu 2.00
N (0.0056, 0.7487, 0.0112)  1 Zn 1.96, 1 Pu 2.00
N (0.3322, 0.4738, 0.6645)  1 Zn 2.03, 3 Pu 2.15-2.27

No. 4
An optimized crystal structure of SiMoS2N. Source: Alexandria, functional PBE.

Output
**Size of the total moment**: 0.53 μB per atom
**Calculated density**: 4.57 g cm⁻³
**Crystal system**: tetragonal
**DOS at the Fermi energy**: 2.4 states/eV/f.u.
**ΔE_f (raw)**: 0.448 eV/atom
**Energy**: -6.12 eV/atom
**Space-group type**: P4/mmm
**Volume**: 14.68 Å³ per atom

a b c (Å): 4.7432 4.7432 3.2622
angles (deg): 90.00 90.00 90.00
Last column: nearest neighbours and their distance in Å.
Sites, in units of the cell vectors:
Mo (0.5000, 0.5000, 0.5000)  8 S 2.88
Si (0.0000, 0.0000, 0.0000)  2 N 1.63
S (0.0000, 0.5000, 0.0000)  2 Si 2.37
S (0.5000, 0.0000, 0.0000)  2 Si 2.37
N (0.0000, 0.0000, 0.5000)  2 Si 1.63

No. 5
An optimized crystal structure of SiGeF2. Source: Alexandria, functional PBE.

Output
**Size of the total moment**: 0.00 μB per atom
**Calculated density**: 3.76 g cm⁻³
**Crystal system**: trigonal
**DOS at the Fermi energy**: 1.9 states/eV/f.u.
**ΔE_f (raw)**: -1.310 eV/atom
**Energy**: -4.76 eV/atom
**Space-group type**: R-3m
**Volume**: 15.31 Å³ per atom

a b c (Å): 9.4327 9.4327 9.4327
angles (deg): 16.81 16.81 16.81
Last column: nearest neighbours and their distance in Å.
Sites, in units of the cell vectors:
Ge (0.5000, 0.5000, 0.5000)  6 Ge 2.76
Si (0.0000, 0.0000, 0.0000)  2 F 1.66
F (0.9407, 0.9407, 0.9407)  1 Si 1.66
F (0.0593, 0.0593, 0.0593)  1 Si 1.66

No. 6
An optimized crystal structure of LaCoTe2N. Source: Alexandria, functional PBE.

Output
**Size of the total moment**: 0.03 μB per atom
**Calculated density**: 4.83 g cm⁻³
**Crystal system**: tetragonal
**DOS at the Fermi energy**: 8.1 states/eV/f.u.
**ΔE_f (raw)**: 0.929 eV/atom
**Energy**: -4.40 eV/atom
**Space-group type**: P4/mmm
**Volume**: 32.09 Å³ per atom

a b c (Å): 6.3568 6.3568 3.9705
angles (deg): 90.00 90.00 90.00
Last column: nearest neighbours and their distance in Å.
Sites, in units of the cell vectors:
N (0.0000, 0.0000, 0.5000)  2 La 1.99
Te (0.0000, 0.5000, 0.0000)  2 La 3.18
Te (0.5000, 0.0000, 0.0000)  2 La 3.18
Co (0.5000, 0.5000, 0.5000)  8 Te 3.75, 2 Co 3.97
La (0.0000, 0.0000, 0.0000)  2 N 1.99

No. 7
An optimized crystal structure of GdCdAs2. Source: Alexandria, functional PBE.

Output
**Size of the total moment**: 1.72 μB per atom
**Calculated density**: 8.01 g cm⁻³
**Crystal system**: tetragonal
**Formation energy from the elements**: -626 meV per atom
**DOS at the Fermi energy**: 1.7 states/eV/f.u.
**Energy**: -6.70 eV/atom
**Space-group type**: P4/mmm
**Volume**: 21.73 Å³ per atom

a b c (Å): 3.8995 4.7211 4.7211
angles (deg): 90.00 90.00 90.00
Last column: nearest neighbours and their distance in Å.
Sites, in units of the cell vectors:
As (0.0000, 0.0000, 0.5000)  4 Gd 3.06, 4 Cd 3.06, 4 As 3.34
As (0.0000, 0.5000, 0.0000)  4 Gd 3.06, 4 Cd 3.06, 4 As 3.34
Gd (0.5000, 0.0000, 0.0000)  8 As 3.06, 4 Cd 3.34
Cd (0.5000, 0.5000, 0.5000)  8 As 3.06, 4 Gd 3.34

No. 8
An optimized crystal structure of Al2ReW. Source: Alexandria, functional PBE.

Output
**Size of the total moment**: 0.00 μB per atom
**Calculated density**: 11.62 g cm⁻³
**Crystal system**: monoclinic
**Formation energy from the elements**: -52 meV per atom
**DOS at the Fermi energy**: 2.8 states/eV/f.u.
**Energy**: -8.27 eV/atom
**Space-group type**: Cm
**Volume**: 15.14 Å³ per atom

a b c (Å): 5.0636 5.0636 4.3191
angles (deg): 65.04 65.04 37.66
Last column: nearest neighbours and their distance in Å.
Sites, in units of the cell vectors:
Re (0.4925, 0.4925, 0.5080)  2 W 2.57, 6 Al 2.68-2.71
Al (0.0061, 0.0061, 0.9944)  4 Re 2.71, 4 W 2.73-3.02, 4 Al 2.81-2.96
Al (0.2403, 0.2403, 0.2592)  2 Re 2.68, 4 W 2.71-2.72, 4 Al 2.81-2.96
W (0.7610, 0.7610, 0.7384)  2 Re 2.57, 6 Al 2.71-2.73